DFT (PBE+U) results for a geometry-optimized MnInOF2 structure.

Computed properties:
**Crystal system**: tetragonal
**Energy**: -27.68 eV for the cell shown

Lattice parameters (Å, degrees): 4.209 4.209 4.044 90.00 90.00 90.00
Sites, in units of the cell vectors:
Mn1 0.000 0.000 0.000
In1 0.500 0.500 0.500
O1 0.000 0.000 0.500
F1 0.000 0.500 0.000
F2 0.500 0.000 0.000